# 1
# Tb4NdN5

An optimized crystal structure of Tb4NdN5 (PBE, Alexandria).

Calculated values
N(E_F) = 0.89 states/eV/f.u.
Energy relative to the elements, uncorrected = -15.86 eV/f.u.
Space group = I4/mmm
Uncorrected energy = -8.08 eV per atom

a b c (Å): 3.5328 3.5328 12.7312
angles (deg): 97.98 97.98 90.00
With the nearest neighbours (Å) after each atom.
Fractional coordinates of all 10 atoms:
Tb  0.3976  0.3976  0.7951  6 N 2.44-2.56
Tb  0.7993  0.7993  0.5987  6 N 2.44-2.50
Tb  0.2007  0.2007  0.4013  6 N 2.44-2.50
Tb  0.6024  0.6024  0.2049  6 N 2.44-2.56
Nd  0.0000  0.0000  0.0000  6 N 2.50-2.57
N  0.1030  0.1030  0.2061  5 Tb 2.44-2.50, 1 Nd 2.57
N  0.5000  0.5000  0.0000  4 Nd 2.50, 2 Tb 2.56
N  0.8970  0.8970  0.7939  5 Tb 2.44-2.50, 1 Nd 2.57
N  0.2997  0.2997  0.5994  6 Tb 2.44-2.50
N  0.7003  0.7003  0.4006  6 Tb 2.44-2.50

# 2
# KGaSi

An optimized crystal structure of KGaSi (PBE, Alexandria).

Calculated values
N(E_F) = 0.70 states/eV/f.u.
Energy relative to the elements, uncorrected = -0.13 eV/f.u.
Space group = Fmm2
Uncorrected energy = -3.22 eV per atom

a b c (Å): 5.7694 6.7101 6.7037
angles (deg): 50.95 64.58 64.47
With the nearest neighbours (Å) after each atom.
Fractional coordinates of all 6 atoms:
K  0.0826  0.6979  0.9174  6 Si 3.67-3.74, 6 Ga 3.71-3.72, 1 K 4.10
K  0.6979  0.0826  0.3021  6 Si 3.67-3.74, 6 Ga 3.71-3.72, 1 K 4.10
Si  0.6781  0.3906  0.6094  1 Si 2.34, 2 Ga 2.35-2.42
Si  0.3906  0.6781  0.3219  1 Si 2.34, 2 Ga 2.35-2.42
Ga  0.3911  0.0849  0.9151  2 Si 2.35-2.42, 1 Ga 2.50
Ga  0.0849  0.3911  0.6089  2 Si 2.35-2.42, 1 Ga 2.50

# 3
# NaYOF2

An optimized crystal structure of NaYOF2 (PBE, Alexandria).

Calculated values
N(E_F) = 0.00 states/eV/f.u.
Energy relative to the elements, uncorrected = -15.57 eV/f.u.
Space group = P4/mmm
Uncorrected energy = -6.41 eV per atom
Energy above the most stable polymorph in this dataset = 0.0 meV per atom

a b c (Å): 4.4501 4.4501 4.3626
angles (deg): 90.00 90.00 90.00
With the nearest neighbours (Å) after each atom.
Fractional coordinates of all 5 atoms:
Y  0.0000  0.0000  0.0000  2 O 2.18, 4 F 2.23
Na  0.5000  0.5000  0.5000  8 F 3.12, 4 O 3.15
O  0.0000  0.0000  0.5000  2 Y 2.18
F  0.0000  0.5000  0.0000  2 Y 2.23
F  0.5000  0.0000  0.0000  2 Y 2.23

# 4
# LaTbMg

An optimized crystal structure of LaTbMg (PBE, Alexandria).

Calculated values
N(E_F) = 3.38 states/eV/f.u.
Space group = C2/m
Energy of formation from the pure elements = -35 meV per atom
Uncorrected energy = -3.75 eV per atom
Energy above the most stable polymorph in this dataset = 13.2 meV per atom

a b c (Å): 5.5806 3.7984 11.8171
angles (deg): 61.17 62.24 89.99
With the nearest neighbours (Å) after each atom.
Fractional coordinates of all 6 atoms:
La  0.9329  0.8250  0.7089  2 Mg 3.42, 6 La 3.46-3.80, 4 Tb 3.72-3.77
La  0.5212  0.4593  0.6195  2 Mg 3.42, 6 La 3.46-3.80, 4 Tb 3.72-3.77
Tb  0.1558  0.4020  0.9907  6 Mg 3.28-3.40
Tb  0.2980  0.8819  0.3377  6 Mg 3.28-3.40
Mg  0.8403  0.4458  0.2952  6 Tb 3.28-3.40, 2 La 3.42, 1 Mg 3.55
Mg  0.6134  0.8382  0.0332  6 Tb 3.28-3.40, 2 La 3.42, 1 Mg 3.55

# 5
# TlIr

An optimized crystal structure of TlIr (PBE, Alexandria).

Calculated values
N(E_F) = 1.42 states/eV/f.u.
Space group = P4/nmm
Energy of formation from the pure elements = 450 meV per atom
Uncorrected energy = -5.16 eV per atom

a b c (Å): 2.9552 2.9552 10.1693
angles (deg): 90.00 90.00 90.00
With the nearest neighbours (Å) after each atom.
Fractional coordinates of all 4 atoms:
Ir  0.2500  0.2500  0.5778  4 Ir 2.62
Ir  0.7500  0.7500  0.4222  4 Ir 2.62
Tl  0.2500  0.2500  0.1815  4 Tl 2.96, 4 Ir 3.22
Tl  0.7500  0.7500  0.8185  4 Tl 2.96, 4 Ir 3.22

# 6
# Pm13Pr3

An optimized crystal structure of Pm13Pr3 (PBE, Alexandria).

Calculated values
N(E_F) = 25.89 states/eV/f.u.
Space group = Amm2
Energy of formation from the pure elements = 14 meV per atom
Uncorrected energy = -4.74 eV per atom
Energy above the most stable polymorph in this dataset = 0.0 meV per atom

a b c (Å): 7.3252 7.3252 10.3532
angles (deg): 90.00 90.00 90.01
With the nearest neighbours (Å) after each atom.
Fractional coordinates of all 16 atoms:
Pm  0.4996  0.9996  0.2506  9 Pm 3.65-3.67, 3 Pr 3.66-3.67
Pm  0.4995  0.5005  0.2507  11 Pm 3.65-3.67, 1 Pr 3.66
Pm  0.0004  0.5004  0.2506  9 Pm 3.65-3.67, 3 Pr 3.66-3.67
Pm  0.7494  0.7495  0.0000  4 Pr 3.65-3.68, 8 Pm 3.65-3.68
Pm  0.2505  0.2506  0.0000  4 Pr 3.65-3.68, 8 Pm 3.65-3.68
Pm  0.2514  0.7486  0.0000  10 Pm 3.65-3.68, 2 Pr 3.67
Pm  0.4996  0.9996  0.7494  9 Pm 3.65-3.67, 3 Pr 3.66-3.67
Pm  0.4995  0.5005  0.7493  11 Pm 3.65-3.67, 1 Pr 3.66
Pm  0.0004  0.5004  0.7494  9 Pm 3.65-3.67, 3 Pr 3.66-3.67
Pm  0.7494  0.2506  0.5000  10 Pm 3.65-3.67, 2 Pr 3.67
Pm  0.7489  0.7489  0.5000  10 Pm 3.65-3.68, 2 Pr 3.67
Pm  0.2511  0.2511  0.5000  10 Pm 3.65-3.68, 2 Pr 3.67
Pm  0.2506  0.7494  0.5000  10 Pm 3.65-3.68, 2 Pr 3.66
Pr  0.0005  0.9995  0.2504  11 Pm 3.66-3.67, 1 Pr 3.68
Pr  0.7486  0.2514  0.0000  10 Pm 3.65-3.68, 2 Pr 3.68
Pr  0.0005  0.9995  0.7496  11 Pm 3.66-3.67, 1 Pr 3.68

# 7
# CaRe2Te

An optimized crystal structure of CaRe2Te (PBE, Alexandria).

Calculated values
N(E_F) = 5.58 states/eV/f.u.
Energy relative to the elements, uncorrected = 3.17 eV/f.u.
Space group = F-43m
Uncorrected energy = -6.72 eV per atom

a b c (Å): 4.7504 4.7504 4.7504
angles (deg): 60.00 60.00 60.00
With the nearest neighbours (Å) after each atom.
Fractional coordinates of all 4 atoms:
Re  0.0000  0.0000  0.0000  4 Re 2.91, 4 Te 2.91
Re  0.2500  0.2500  0.2500  4 Ca 2.91, 4 Re 2.91
Ca  0.5000  0.5000  0.5000  4 Te 2.91, 4 Re 2.91
Te  0.7500  0.7500  0.7500  4 Re 2.91, 4 Ca 2.91

# 8
# Fe2SiPb

An optimized crystal structure of Fe2SiPb (PBE, Alexandria).

Calculated values
N(E_F) = 3.90 states/eV/f.u.
Energy relative to the elements, uncorrected = 2.50 eV/f.u.
Space group = C2/m
Uncorrected energy = -5.89 eV per atom
Energy above the most stable polymorph in this dataset = 470.9 meV per atom

a b c (Å): 4.9511 5.4196 3.0138
angles (deg): 80.96 77.39 119.97
With the nearest neighbours (Å) after each atom.
Fractional coordinates of all 4 atoms:
Fe  0.0000  0.0000  0.0000  2 Si 2.60, 2 Pb 2.60, 2 Fe 2.89
Fe  0.0000  0.5000  0.5000  2 Pb 2.60, 2 Si 2.60, 2 Fe 2.89
Pb  0.5000  0.5000  0.0000  4 Fe 2.60, 2 Si 2.89
Si  0.5000  0.0000  0.5000  4 Fe 2.60, 2 Pb 2.89

Which value of N(E_F) does entry 7 give? 5.58 states/eV/f.u.

Which of these has the highest uncorrected energy? KGaSi

Number 8 is which compound? Fe2SiPb